No. 1
A plane-wave DFT calculation with PBEsol was carried out for an optimized crystal structure of MnCuN2.

Unit cell a=6.1703 b=6.1703 c=6.1703 alpha=24.73 beta=24.73 gamma=24.73
With the nearest neighbours (Å) after each atom.
Atoms (fractional coordinates):
Mn (0.0000, 0.0000, 0.0000)  6 N 1.91
Cu (0.5000, 0.5000, 0.5000)  2 N 1.84
N (0.3975, 0.3975, 0.3975)  1 Cu 1.84, 3 Mn 1.91
N (0.6025, 0.6025, 0.6025)  1 Cu 1.84, 3 Mn 1.91

## Properties
formation energy from raw total energies = 0.0635 eV/atom
DOS(E_F) = 1.90 states/eV/cell
symmetry = No. 166
offset from the most stable computed form = 0 meV per atom


No. 2
A plane-wave DFT calculation with PBEsol was carried out for an optimized crystal structure of AlP2Pb.

Unit cell a=3.9071 b=3.9071 c=6.6422 alpha=93.25 beta=93.25 gamma=56.32
With the nearest neighbours (Å) after each atom.
Atoms (fractional coordinates):
Al (0.0000, 0.0000, 0.0000)  5 P 2.39-2.47
P (0.3242, 0.3242, 0.1516)  3 Al 2.39-2.46
P (0.4932, 0.4932, 0.7513)  2 Al 2.47, 1 Pb 2.72
Pb (0.7857, 0.7857, 0.4958)  5 P 2.72-2.96

## Properties
DOS(E_F) = 1.60 states/eV/cell
symmetry = No. 8
offset from the most stable computed form = 42 meV per atom


No. 3
A plane-wave DFT calculation with PBEsol was carried out for an optimized crystal structure of LiZn2Ag.

Unit cell a=4.3213 b=4.3213 c=4.3213 alpha=60.00 beta=60.00 gamma=60.00
With the nearest neighbours (Å) after each atom.
Atoms (fractional coordinates):
Li (0.0000, 0.0000, 0.0000)  4 Zn 2.65, 4 Ag 2.65
Zn (0.2500, 0.2500, 0.2500)  4 Li 2.65, 4 Zn 2.65
Zn (0.5000, 0.5000, 0.5000)  4 Zn 2.65, 4 Ag 2.65
Ag (0.7500, 0.7500, 0.7500)  4 Li 2.65, 4 Zn 2.65

## Properties
DOS(E_F) = 0.87 states/eV/cell
symmetry = No. 216


No. 4
A plane-wave DFT calculation with PBEsol was carried out for an optimized crystal structure of FeCoNi2.

Unit cell a=8.2080 b=8.2080 c=8.2080 alpha=17.18 beta=17.18 gamma=17.18
With the nearest neighbours (Å) after each atom.
Atoms (fractional coordinates):
Fe (0.0000, 0.0000, 0.0000)  6 Fe 2.45, 6 Ni 2.48
Co (0.5000, 0.5000, 0.5000)  6 Co 2.45, 6 Ni 2.46
Ni (0.2494, 0.2494, 0.2494)  6 Ni 2.45, 3 Co 2.46, 3 Fe 2.48
Ni (0.7506, 0.7506, 0.7506)  6 Ni 2.45, 3 Co 2.46, 3 Fe 2.48

## Properties
DOS(E_F) = 4.01 states/eV/cell
symmetry = No. 166


No. 5
A plane-wave DFT calculation with PBEsol was carried out for an optimized crystal structure of Mn2CrSb.

Unit cell a=2.9745 b=2.9745 c=5.8042 alpha=90.00 beta=90.00 gamma=90.00
With the nearest neighbours (Å) after each atom.
Atoms (fractional coordinates):
Mn (0.0000, 0.0000, 0.2338)  4 Cr 2.50, 4 Sb 2.61, 1 Mn 2.71
Mn (0.0000, 0.0000, 0.7662)  4 Cr 2.50, 4 Sb 2.61, 1 Mn 2.71
Cr (0.5000, 0.5000, 0.0000)  8 Mn 2.50
Sb (0.5000, 0.5000, 0.5000)  8 Mn 2.61, 2 Cr 2.90

## Properties
formation energy from raw total energies = 0.3246 eV/atom
DOS(E_F) = 2.72 states/eV/cell
symmetry = No. 123


No. 6
A plane-wave DFT calculation with PBEsol was carried out for an optimized crystal structure of Li5SbS.

Unit cell a=4.2595 b=4.2595 c=6.3229 alpha=90.00 beta=90.00 gamma=90.00
With the nearest neighbours (Å) after each atom.
Atoms (fractional coordinates):
Li (0.0000, 0.0000, 0.0000)  8 Li 2.80, 4 Sb 3.01
Li (0.0000, 0.5000, 0.2871)  2 S 2.52, 3 Li 2.69-2.80, 2 Sb 2.80
Li (0.0000, 0.5000, 0.7129)  2 S 2.52, 3 Li 2.69-2.80, 2 Sb 2.80
Li (0.5000, 0.0000, 0.2871)  2 S 2.52, 3 Li 2.69-2.80, 2 Sb 2.80
Li (0.5000, 0.0000, 0.7129)  2 S 2.52, 3 Li 2.69-2.80, 2 Sb 2.80
Sb (0.5000, 0.5000, 0.0000)  12 Li 2.80-3.01
S (0.0000, 0.0000, 0.5000)  8 Li 2.52

## Properties
formation energy from raw total energies = -0.9035 eV/atom
symmetry = No. 123
offset from the most stable computed form = 0 meV per atom


No. 7
A plane-wave DFT calculation with PBEsol was carried out for an optimized crystal structure of Sr3SbAs.

Unit cell a=5.7630 b=5.7630 c=5.7630 alpha=90.00 beta=90.00 gamma=90.00
With the nearest neighbours (Å) after each atom.
Atoms (fractional coordinates):
Sr (0.0000, 0.0000, 0.5000)  2 As 2.88
Sr (0.0000, 0.5000, 0.0000)  2 As 2.88
Sr (0.5000, 0.0000, 0.0000)  2 As 2.88
Sb (0.5000, 0.5000, 0.5000)  12 Sr 4.08
As (0.0000, 0.0000, 0.0000)  6 Sr 2.88

## Properties
formation energy from raw total energies = -0.8657 eV/atom
DOS(E_F) = 0.05 states/eV/cell
symmetry = No. 221


No. 8
A plane-wave DFT calculation with PBEsol was carried out for an optimized crystal structure of KLiTa2.

Unit cell a=6.5546 b=6.5546 c=6.5546 alpha=146.09 beta=146.09 gamma=48.72
With the nearest neighbours (Å) after each atom.
Atoms (fractional coordinates):
K (0.0000, 0.0000, 0.0000)  4 Li 2.70
Li (0.5000, 0.5000, 0.0000)  4 K 2.70
Ta (0.2500, 0.7500, 0.5000)  4 Ta 2.70
Ta (0.7500, 0.2500, 0.5000)  4 Ta 2.70

## Properties
DOS(E_F) = 3.31 states/eV/cell
symmetry = No. 139
offset from the most stable computed form = 478 meV per atom


No. 9
A plane-wave DFT calculation with PBEsol was carried out for an optimized crystal structure of KRuSe2.

Unit cell a=5.7608 b=5.7608 c=5.7608 alpha=145.07 beta=114.58 gamma=76.36
With the nearest neighbours (Å) after each atom.
Atoms (fractional coordinates):
K (0.0000, 0.0000, 0.0000)  8 Se 3.34-3.53, 2 K 3.46, 4 Ru 3.56
Ru (0.5000, 0.5000, 0.0000)  4 Se 2.40
Se (0.3158, 0.8158, 0.5000)  2 Ru 2.40
Se (0.6842, 0.1842, 0.5000)  2 Ru 2.40

## Properties
formation energy from raw total energies = -0.1851 eV/atom
DOS(E_F) = 2.45 states/eV/cell
symmetry = No. 71


No. 10
A plane-wave DFT calculation with PBEsol was carried out for an optimized crystal structure of NbNiP2.

Unit cell a=5.3454 b=3.3354 c=12.0699 alpha=90.00 beta=90.00 gamma=90.00
With the nearest neighbours (Å) after each atom.
Atoms (fractional coordinates):
Nb (0.0179, 0.2500, 0.1708)  7 P 2.51-2.66
Nb (0.4821, 0.7500, 0.6708)  7 P 2.51-2.66
Nb (0.5179, 0.2500, 0.3292)  7 P 2.51-2.66
Nb (0.9821, 0.7500, 0.8292)  7 P 2.51-2.66
Ni (0.0206, 0.2500, 0.4158)  5 P 2.25-2.35
Ni (0.4794, 0.7500, 0.9158)  5 P 2.25-2.35
Ni (0.5206, 0.2500, 0.0842)  5 P 2.25-2.35
Ni (0.9794, 0.7500, 0.5842)  5 P 2.25-2.35
P (0.1324, 0.2500, 0.6890)  2 Ni 2.25, 4 Nb 2.51
P (0.1904, 0.2500, 0.9637)  3 Ni 2.29-2.35
P (0.3096, 0.7500, 0.4637)  3 Ni 2.29-2.35
P (0.3676, 0.7500, 0.1890)  2 Ni 2.25, 4 Nb 2.51
P (0.6324, 0.2500, 0.8110)  2 Ni 2.25, 4 Nb 2.51
P (0.6904, 0.2500, 0.5363)  3 Ni 2.29-2.35
P (0.8096, 0.7500, 0.0363)  3 Ni 2.29-2.35
P (0.8676, 0.7500, 0.3110)  2 Ni 2.25, 4 Nb 2.51

## Properties
DOS(E_F) = 5.52 states/eV/cell
symmetry = No. 62


No. 11
A plane-wave DFT calculation with PBEsol was carried out for an optimized crystal structure of LiAlP2.

Unit cell a=5.1387 b=5.1387 c=5.1387 alpha=139.57 beta=139.57 gamma=58.51
With the nearest neighbours (Å) after each atom.
Atoms (fractional coordinates):
Li (0.0000, 0.0000, 0.0000)  4 P 2.51
Al (0.2500, 0.7500, 0.5000)  4 P 2.51
P (0.5000, 0.5000, 0.0000)  4 Li 2.51
P (0.7500, 0.2500, 0.5000)  4 Al 2.51

## Properties
DOS(E_F) = 1.51 states/eV/cell
symmetry = No. 119


No. 12
A plane-wave DFT calculation with PBEsol was carried out for an optimized crystal structure of ZrNbIr3.

Unit cell a=4.6843 b=4.6843 c=4.6843 alpha=90.00 beta=90.00 gamma=90.00
With the nearest neighbours (Å) after each atom.
Atoms (fractional coordinates):
Zr (0.0000, 0.0000, 0.0000)  12 Ir 3.31
Nb (0.5000, 0.5000, 0.5000)  6 Ir 2.34
Ir (0.0000, 0.5000, 0.5000)  2 Nb 2.34
Ir (0.5000, 0.0000, 0.5000)  2 Nb 2.34
Ir (0.5000, 0.5000, 0.0000)  2 Nb 2.34

## Properties
DOS(E_F) = 4.10 states/eV/cell
symmetry = No. 221


No. 13
A plane-wave DFT calculation with PBEsol was carried out for an optimized crystal structure of Ba2HgAu.

Unit cell a=4.7435 b=4.7435 c=6.7348 alpha=90.00 beta=90.00 gamma=90.00
With the nearest neighbours (Å) after each atom.
Atoms (fractional coordinates):
Ba (0.0000, 0.0000, 0.0000)  4 Au 3.35, 2 Hg 3.37
Ba (0.5000, 0.5000, 0.5000)  4 Hg 3.35, 2 Au 3.37
Hg (0.0000, 0.0000, 0.5000)  6 Ba 3.35-3.37
Au (0.5000, 0.5000, 0.0000)  6 Ba 3.35-3.37

## Properties
DOS(E_F) = 1.83 states/eV/cell
symmetry = No. 123


No. 14
A plane-wave DFT calculation with PBEsol was carried out for an optimized crystal structure of SiSbRhI2.

Unit cell a=5.2233 b=5.2233 c=5.1980 alpha=90.00 beta=90.00 gamma=90.00
With the nearest neighbours (Å) after each atom.
Atoms (fractional coordinates):
Si (0.0000, 0.0000, 0.0000)  2 Sb 2.60, 4 I 2.61
Sb (0.0000, 0.0000, 0.5000)  2 Si 2.60
Rh (0.5000, 0.5000, 0.5000)  8 I 3.68, 4 Sb 3.69
I (0.0000, 0.5000, 0.0000)  2 Si 2.61
I (0.5000, 0.0000, 0.0000)  2 Si 2.61

## Properties
formation energy from raw total energies = 1.1092 eV/atom
DOS(E_F) = 7.71 states/eV/cell
symmetry = No. 123


| no. | calculated total energy (eV/atom) |
| --- | --- |
| 1 | -7.72 |
| 2 | -4.96 |
| 3 | -2.29 |
| 4 | -7.24 |
| 5 | -8.26 |
| 6 | -3.59 |
| 7 | -3.90 |
| 8 | -5.85 |
| 9 | -4.94 |
| 10 | -7.96 |
| 11 | -4.50 |
| 12 | -8.82 |
| 13 | -2.67 |
| 14 | -3.29 |